# 1
Here is a relaxed SrHgB crystal from the Open Quantum Materials Database. Energies are from PBE-GGA.

Geometry as POSCAR:
```
SrHgB
1.0
0.873 -2.293 4.319
2.427 2.374 3.626
-2.424 1.415 4.098
B Hg Sr
1 1 1
direct
0.250 0.250 0.250
0.750 0.750 0.750
0.000 0.000 0.000
```

Properties
- Final energy: -5.5 eV for the cell shown
- Polymorph energy (0 for the lowest one): 0.5728 eV/atom

# 2
Here is a relaxed TaHgB2 crystal from the Open Quantum Materials Database. Energies are from PBE-GGA.

Geometry as POSCAR:
```
TaHgB2
1.0
0.000 3.063 3.063
3.063 0.000 3.063
3.063 3.063 0.000
Ta Hg B
1 1 2
direct
0.750 0.750 0.750
0.500 0.500 0.500
0.250 0.250 0.250
0.000 0.000 0.000
```

Properties
- Final energy: -18.1 eV for the cell shown
- Size of the total moment: 0.012 μB/cell

# 3
Here is a relaxed Ta2HgB crystal from the Open Quantum Materials Database. Energies are from PBE-GGA.

Geometry as POSCAR:
```
Ta2HgB
1.0
-3.035 -2.439 2.368
0.014 0.147 4.555
-3.377 2.103 2.222
Ta B Hg
2 1 1
direct
0.750 0.750 0.750
0.000 0.000 0.000
0.500 0.500 0.500
0.250 0.250 0.250
```

Properties
- Final energy: -25.6 eV for the cell shown
- Size of the total moment: 0.000 μB/cell

# 4
Here is a relaxed TaHgB4 crystal from the Open Quantum Materials Database. Energies are from PBE-GGA.

Geometry as POSCAR:
```
TaHgB4
1.0
3.041 0.000 0.000
-1.520 2.633 0.000
0.000 0.000 9.096
B Ta Hg
4 1 1
direct
0.667 0.333 0.180
0.333 0.667 0.820
0.667 0.333 0.820
0.333 0.667 0.180
0.000 0.000 0.000
0.000 0.000 0.500
```

Properties
- Final energy: -39.2 eV for the cell shown
- Size of the total moment: 0.001 μB/cell
- Polymorph energy (0 for the lowest one): 0.0000 eV/atom

# 5
Here is a relaxed TaHgB4 crystal from the Open Quantum Materials Database. Energies are from PBE-GGA.

Geometry as POSCAR:
```
TaHgB4
1.0
-1.002 -4.425 1.953
2.910 -0.277 3.982
-3.814 2.432 -1.983
B Hg Ta
4 1 1
direct
0.071 0.740 0.331
0.590 0.260 0.331
0.929 0.260 0.669
0.410 0.740 0.669
0.500 0.500 0.000
0.000 0.000 0.000
```

Properties
- Final energy: -37.2 eV for the cell shown
- Size of the total moment: 0.000 μB/cell
- Polymorph energy (0 for the lowest one): 0.3380 eV/atom

# 6
Here is a relaxed TbHgB4 crystal from the Open Quantum Materials Database. Energies are from PBE-GGA.

Geometry as POSCAR:
```
TbHgB4
1.0
1.280 -5.065 -0.154
-3.405 -2.538 3.046
0.488 2.858 -4.349
B Hg Tb
4 1 1
direct
0.551 0.233 0.318
0.916 0.233 0.682
0.449 0.767 0.682
0.084 0.767 0.318
0.000 0.000 0.000
0.500 0.500 0.000
```

Properties
- Final energy: -31.6 eV for the cell shown
- Size of the total moment: 0.001 μB/cell
- Polymorph energy (0 for the lowest one): 0.0000 eV/atom

# 7
Here is a relaxed TbHgB4 crystal from the Open Quantum Materials Database. Energies are from PBE-GGA.

Geometry as POSCAR:
```
TbHgB4
1.0
-2.250 0.639 -2.220
-0.816 -0.192 3.114
1.377 7.772 0.840
Tb B Hg
1 4 1
direct
0.000 0.000 0.500
0.333 0.667 0.741
0.333 0.667 0.259
0.667 0.333 0.259
0.667 0.333 0.741
0.000 0.000 0.000
```

Properties
- Final energy: -30.3 eV for the cell shown
- Size of the total moment: 0.037 μB/cell
- Polymorph energy (0 for the lowest one): 0.2210 eV/atom

# 8
Here is a relaxed Tc2HgB crystal from the Open Quantum Materials Database. Energies are from PBE-GGA.

Geometry as POSCAR:
```
Tc2HgB
1.0
0.000 3.069 3.069
3.069 0.000 3.069
3.069 3.069 0.000
B Tc Hg
1 2 1
direct
0.500 0.500 0.500
0.750 0.750 0.750
0.000 0.000 0.000
0.250 0.250 0.250
```

Properties
- Final energy: -23.1 eV for the cell shown
- Size of the total moment: 0.001 μB/cell

# 9
Here is a relaxed TcHg2B crystal from the Open Quantum Materials Database. Energies are from PBE-GGA.

Geometry as POSCAR:
```
TcHg2B
1.0
0.000 3.195 3.195
3.195 0.000 3.195
3.195 3.195 0.000
B Tc Hg
1 1 2
direct
0.500 0.500 0.500
0.250 0.250 0.250
0.000 0.000 0.000
0.750 0.750 0.750
```

Properties
- Final energy: -12.2 eV for the cell shown
- Size of the total moment: 0.000 μB/cell

# 10
Here is a relaxed HgB2Te2 crystal from the Open Quantum Materials Database. Energies are from PBE-GGA.

Geometry as POSCAR:
```
HgB2Te2
1.0
-1.325 1.653 3.566
-3.927 -0.707 -1.131
2.916 -7.368 2.087
B Hg Te
2 1 2
direct
0.250 0.750 0.500
0.750 0.250 0.500
0.000 0.000 0.000
0.326 0.326 0.651
0.674 0.674 0.349
```

Properties
- Final energy: -16.4 eV for the cell shown

# 11
Here is a relaxed HgBTe2 crystal from the Open Quantum Materials Database. Energies are from PBE-GGA.

Geometry as POSCAR:
```
HgBTe2
1.0
-1.823 -3.443 3.336
-5.047 -0.315 0.861
-2.642 -4.059 -1.689
B Hg Te
1 1 2
direct
0.750 0.750 0.750
0.500 0.500 0.500
0.000 0.000 0.000
0.250 0.250 0.250
```

Properties
- Final energy: -8.6 eV for the cell shown

# 12
Here is a relaxed TlHgB4 crystal from the Open Quantum Materials Database. Energies are from PBE-GGA.

Geometry as POSCAR:
```
TlHgB4
1.0
-0.253 -3.058 -0.330
1.877 1.170 2.153
-7.222 -0.087 6.346
B Tl Hg
4 1 1
direct
0.333 0.667 0.269
0.667 0.333 0.731
0.667 0.333 0.269
0.333 0.667 0.731
0.000 0.000 0.000
0.000 0.000 0.500
```

Properties
- Final energy: -25.0 eV for the cell shown
- Polymorph energy (0 for the lowest one): 0.0000 eV/atom

# 13
Here is a relaxed Tl2HgB crystal from the Open Quantum Materials Database. Energies are from PBE-GGA.

Geometry as POSCAR:
```
Tl2HgB
1.0
0.000 3.633 3.633
3.633 0.000 3.633
3.633 3.633 0.000
Tl B Hg
2 1 1
direct
0.250 0.250 0.250
0.000 0.000 0.000
0.750 0.750 0.750
0.500 0.500 0.500
```

Properties
- Final energy: -7.6 eV for the cell shown

# 14
Here is a relaxed TlHgB4 crystal from the Open Quantum Materials Database. Energies are from PBE-GGA.

Geometry as POSCAR:
```
TlHgB4
1.0
-1.542 2.658 4.904
1.542 -2.658 4.904
1.542 2.658 -4.904
B Tl Hg
4 1 1
direct
0.418 0.750 0.668
0.083 0.750 0.332
0.582 0.250 0.332
0.917 0.250 0.668
0.500 0.500 0.000
0.000 0.000 0.000
```

Properties
- Final energy: -24.9 eV for the cell shown
- Polymorph energy (0 for the lowest one): 0.0041 eV/atom

# 15
Here is a relaxed Tm4TlHgB2 crystal from the Open Quantum Materials Database. Energies are from PBE-GGA.

Geometry as POSCAR:
```
Tm4TlHgB2
1.0
-2.311 -0.246 2.835
-1.277 -0.211 -3.430
1.976 -15.794 0.238
Hg Tl B Tm
1 1 2 4
direct
0.000 0.000 0.000
0.667 0.333 0.500
0.333 0.667 0.757
0.333 0.667 0.243
0.000 0.000 0.665
0.667 0.333 0.154
0.667 0.333 0.846
0.000 0.000 0.335
```

Properties
- Final energy: -35.0 eV for the cell shown
- Size of the total moment: 1.834 μB/cell

# 16
Here is a relaxed Zr4TlHgB2 crystal from the Open Quantum Materials Database. Energies are from PBE-GGA.

Geometry as POSCAR:
```
Zr4TlHgB2
1.0
3.452 0.000 0.000
-1.726 2.990 0.000
0.000 0.000 15.263
Tl B Hg Zr
1 2 1 4
direct
0.333 0.667 0.500
0.000 0.000 0.752
0.000 0.000 0.248
0.667 0.333 0.000
0.333 0.667 0.839
0.667 0.333 0.333
0.333 0.667 0.161
0.667 0.333 0.667
```

Properties
- Final energy: -53.2 eV for the cell shown
- Size of the total moment: 0.001 μB/cell

# 17
Here is a relaxed UHgB crystal from the Open Quantum Materials Database. Energies are from PBE-GGA.

Geometry as POSCAR:
```
UHgB
1.0
4.273 0.303 1.771
0.957 -1.954 4.094
2.699 -3.763 0.198
B U Hg
1 1 1
direct
0.250 0.250 0.250
0.000 0.000 0.000
0.750 0.750 0.750
```

Properties
- Final energy: -14.4 eV for the cell shown
- Size of the total moment: 2.449 μB/cell
- Polymorph energy (0 for the lowest one): 0.6682 eV/atom

# 18
Here is a relaxed UHgB crystal from the Open Quantum Materials Database. Energies are from PBE-GGA.

Geometry as POSCAR:
```
UHgB
1.0
-1.510 -0.856 4.029
-4.004 1.352 1.174
-3.225 -2.920 0.559
Hg B U
1 1 1
direct
0.250 0.250 0.250
0.000 0.000 0.000
0.750 0.750 0.750
```

Properties
- Final energy: -16.4 eV for the cell shown
- Size of the total moment: 2.958 μB/cell
- Polymorph energy (0 for the lowest one): 0.0000 eV/atom

# 19
Here is a relaxed Hg2BW crystal from the Open Quantum Materials Database. Energies are from PBE-GGA.

Geometry as POSCAR:
```
Hg2BW
1.0
0.000 3.217 3.217
3.217 0.000 3.217
3.217 3.217 0.000
B Hg W
1 2 1
direct
0.500 0.500 0.500
0.750 0.750 0.750
0.000 0.000 0.000
0.250 0.250 0.250
```

Properties
- Final energy: -13.7 eV for the cell shown
- Size of the total moment: 0.483 μB/cell

# 20
Here is a relaxed HgBW2 crystal from the Open Quantum Materials Database. Energies are from PBE-GGA.

Geometry as POSCAR:
```
HgBW2
1.0
0.760 -4.349 -0.517
-3.406 -2.801 -0.554
-0.678 -1.920 -3.950
Hg B W
1 1 2
direct
0.250 0.250 0.250
0.500 0.500 0.500
0.750 0.750 0.750
0.000 0.000 0.000
```

Properties
- Final energy: -27.1 eV for the cell shown
- Size of the total moment: 0.000 μB/cell